Dy14Ti10O41, relaxed, DFT PBEsol; total magnetic moment = 0.00 μB/f.u.; uncorrected formation energy = -3.374 eV per atom; crystal system = monoclinic
1.0
7.2321 0.0533 -0.0161
3.6381 6.2506 -0.0161
0.1585 0.0919 17.4508
Dy Ti O
14 10 41
Cartesian
7.1776 4.1625 14.2460
5.2073 3.0199 0.0622
2.0235 1.1735 14.7273
5.4386 1.1114 14.5035
0.2610 0.1513 0.1380
3.6658 4.1685 14.5035
5.4027 3.1332 8.4165
8.9864 3.1226 8.7838
3.5452 2.0560 11.5600
7.1734 6.2489 8.7838
9.1106 5.2835 2.7720
5.3901 5.1461 3.0758
7.5199 4.3610 5.8014
7.1436 2.1225 3.0758
7.4278 6.2661 17.3821
9.1277 3.3349 17.3821
7.2710 2.0753 11.7078
5.4124 5.2802 11.7078
9.0678 5.2587 11.4999
3.6368 4.1903 5.8296
3.7378 2.1677 2.8893
5.4432 1.0755 5.8296
1.8411 1.0677 5.7917
10.9402 6.3445 8.7371
2.3491 1.3623 16.9642
7.3952 1.8987 13.7272
5.6998 0.9819 16.7060
5.3208 5.4757 13.7272
5.5418 3.2138 15.2847
3.7880 4.4075 11.8225
6.4129 3.7190 12.1005
3.7581 4.6567 7.6763
9.0819 5.2668 13.4254
3.6830 4.4594 16.7060
8.8825 3.3858 15.4908
3.6928 2.1415 9.3696
8.8091 3.4154 11.0955
3.6328 2.1068 13.7463
5.7068 1.0988 11.8225
5.9082 0.9491 7.6763
9.4457 5.4779 9.6118
3.6800 0.4328 6.3053
9.4370 5.4728 5.4278
4.0428 0.8437 1.5897
7.3502 6.0280 15.4908
7.3395 5.9496 11.0955
1.6188 0.9388 11.7928
1.5589 0.9041 7.7892
5.2076 5.3191 9.7054
2.2033 2.9791 6.3053
5.1848 5.4606 5.3561
7.2699 4.2160 7.9596
7.3865 4.2836 3.6305
2.7402 3.0899 1.5897
7.3827 2.4841 0.6316
2.2601 1.3107 3.8630
5.3555 3.1058 2.2973
7.2031 1.8782 9.7054
7.3146 1.7881 5.3561
5.0865 2.9498 6.2020
5.1806 1.1472 3.8915
5.8227 5.1741 0.6316
0.0689 0.0399 2.2427
8.4895 4.9233 0.6317
3.5686 3.9268 3.8915